Model w:
RbNbGeO5: optimized geometry, PBE.

The structure in CIF format:
```
data_RbNbGeO5
_chemical_formula_sum 'Rb4 Nb4 Ge4 O20'
_symmetry_space_group_name_H-M 'C 1 2/c 1'
_symmetry_Int_Tables_number 15
_cell_length_a 7.289
_cell_length_b 9.517
_cell_length_c 7.679
_cell_angle_alpha 90.00
_cell_angle_beta 116.30
_cell_angle_gamma 90.00
loop_
_symmetry_equiv_pos_as_xyz
'x,y,z'
'-x,-y,-z'
'-x,y,-z+1/2'
'x,-y,z+1/2'
'x+1/2,y+1/2,z'
'-x+1/2,-y+1/2,-z'
'-x+1/2,y+1/2,-z+1/2'
'x+1/2,-y+1/2,z+1/2'
loop_
_atom_site_label
_atom_site_type_symbol
_atom_site_fract_x
_atom_site_fract_y
_atom_site_fract_z
_atom_site_occupancy
Rb1 Rb 0.000 0.171 0.250 1
Nb1 Nb 0.000 0.500 0.000 1
Ge1 Ge 0.000 0.191 0.750 1
O1 O 0.000 0.451 0.250 1
O2 O 0.080 0.300 0.608 1
O3 O 0.207 0.076 0.894 1
```

Results
N(E_F): 0.0 states/eV per cell
size of the total moment: 0.0 μB per formula unit

=====

Model x:
RbNbGeO5: optimized geometry, PBE.

The structure in CIF format:
```
data_RbNbGeO5
_chemical_formula_sum 'Rb12 Nb12 Ge12 O60'
_symmetry_space_group_name_H-M 'P 21 21 21'
_symmetry_Int_Tables_number 19
_cell_length_a 7.565
_cell_length_b 10.558
_cell_length_c 20.994
_cell_angle_alpha 90.00
_cell_angle_beta 90.00
_cell_angle_gamma 90.00
loop_
_symmetry_equiv_pos_as_xyz
'x,y,z'
'-x+1/2,-y,z+1/2'
'x+1/2,-y+1/2,-z'
'-x,y+1/2,-z+1/2'
loop_
_atom_site_label
_atom_site_type_symbol
_atom_site_fract_x
_atom_site_fract_y
_atom_site_fract_z
_atom_site_occupancy
Rb1 Rb 0.179 0.121 0.486 1
Rb2 Rb 0.246 0.174 0.840 1
Rb3 Rb 0.248 0.881 0.648 1
Nb1 Nb 0.016 0.770 0.500 1
Nb2 Nb 0.221 0.487 0.425 1
Nb3 Nb 0.232 0.520 0.601 1
Ge1 Ge 0.013 0.752 0.853 1
Ge2 Ge 0.096 0.780 0.149 1
Ge3 Ge 0.214 0.382 0.269 1
O1 O 0.002 0.810 0.226 1
O2 O 0.005 0.879 0.091 1
O3 O 0.026 0.411 0.631 1
O4 O 0.060 0.383 0.069 1
O5 O 0.070 0.402 0.937 1
O6 O 0.070 0.633 0.434 1
O7 O 0.070 0.652 0.576 1
O8 O 0.088 0.623 0.125 1
O9 O 0.125 0.679 0.915 1
O10 O 0.133 0.747 0.780 1
O11 O 0.184 0.163 0.662 1
O12 O 0.216 0.442 0.514 1
O13 O 0.236 0.410 0.188 1
O14 O 0.241 0.185 0.999 1
O15 O 0.244 0.503 0.324 1
```

Results
N(E_F): 0.0 states/eV per cell
size of the total moment: 0.0 μB per formula unit

=====

How far above the most stable structure does each one sit? In meV/atom: model w 79; model x 0.

=====

Model w:
NbGeOs3: optimized geometry, PBE.

The structure in CIF format:
```
data_NbGeOs3
_chemical_formula_sum 'Nb1 Ge1 Os3'
_symmetry_space_group_name_H-M 'P m -3 m'
_symmetry_Int_Tables_number 221
_symmetry_space_group_name_Hall '-P 4 2 3'
_cell_length_a 4.781
_cell_length_b 4.781
_cell_length_c 4.781
_cell_angle_alpha 90.00
_cell_angle_beta 90.00
_cell_angle_gamma 90.00
loop_
_atom_site_label
_atom_site_type_symbol
_atom_site_fract_x
_atom_site_fract_y
_atom_site_fract_z
_atom_site_occupancy
Nb1 Nb 0.000 0.000 0.000 1
Ge1 Ge 0.500 0.500 0.500 1
Os1 Os 0.000 0.000 0.500 1
```

Results
N(E_F): 8.5 states/eV per cell
size of the total moment: 0.5 μB per formula unit

=====

Model x:
NbGeOs3: optimized geometry, PBE.

The structure in CIF format:
```
data_NbGeOs3
_chemical_formula_sum 'Nb1 Ge1 Os3'
_symmetry_space_group_name_H-M 'P m -3 m'
_symmetry_Int_Tables_number 221
_symmetry_space_group_name_Hall '-P 4 2 3'
_cell_length_a 4.468
_cell_length_b 4.468
_cell_length_c 4.468
_cell_angle_alpha 90.00
_cell_angle_beta 90.00
_cell_angle_gamma 90.00
loop_
_atom_site_label
_atom_site_type_symbol
_atom_site_fract_x
_atom_site_fract_y
_atom_site_fract_z
_atom_site_occupancy
Nb1 Nb 0.000 0.000 0.000 1
Ge1 Ge 0.500 0.500 0.500 1
Os1 Os 0.000 0.500 0.500 1
```

Results
N(E_F): 3.5 states/eV per cell
size of the total moment: 0.0 μB per formula unit

=====

How far above the most stable structure does each one sit? In meV/atom: model w 904; model x 0.

=====

Model w:
Nb2Ge2Os: optimized geometry, PBE.

The structure in CIF format:
```
data_Nb2Ge2Os
_chemical_formula_sum 'Nb8 Ge8 Os4'
_symmetry_space_group_name_H-M 'C m c 21'
_symmetry_Int_Tables_number 36
_cell_length_a 4.305
_cell_length_b 13.517
_cell_length_c 5.912
_cell_angle_alpha 90.00
_cell_angle_beta 90.00
_cell_angle_gamma 90.00
loop_
_symmetry_equiv_pos_as_xyz
'x,y,z'
'-x,-y,z+1/2'
'-x,y,z'
'x,-y,z+1/2'
'x+1/2,y+1/2,z'
'-x+1/2,-y+1/2,z+1/2'
'-x+1/2,y+1/2,z'
'x+1/2,-y+1/2,z+1/2'
loop_
_atom_site_label
_atom_site_type_symbol
_atom_site_fract_x
_atom_site_fract_y
_atom_site_fract_z
_atom_site_occupancy
Nb1 Nb 0.000 0.005 0.000 1
Nb2 Nb 0.000 0.192 0.274 1
Ge1 Ge 0.000 0.183 0.778 1
Ge2 Ge 0.000 0.428 0.726 1
Os1 Os 0.000 0.389 0.131 1
```

Results
N(E_F): 6.5 states/eV per cell
size of the total moment: 0.0 μB per formula unit

=====

Model x:
Nb2Ge2Os: optimized geometry, PBE.

The structure in CIF format:
```
data_Nb2Ge2Os
_chemical_formula_sum 'Nb4 Ge4 Os2'
_symmetry_space_group_name_H-M 'P 4/m b m'
_symmetry_Int_Tables_number 127
_symmetry_space_group_name_Hall '-P 4 2ab'
_cell_length_a 6.288
_cell_length_b 6.288
_cell_length_c 4.176
_cell_angle_alpha 90.00
_cell_angle_beta 90.00
_cell_angle_gamma 90.00
loop_
_atom_site_label
_atom_site_type_symbol
_atom_site_fract_x
_atom_site_fract_y
_atom_site_fract_z
_atom_site_occupancy
Nb1 Nb 0.159 0.341 0.000 1
Ge1 Ge 0.141 0.641 0.500 1
Os1 Os 0.000 0.000 0.500 1
```

Results
N(E_F): 0.4 states/eV per cell
size of the total moment: 0.0 μB per formula unit

=====

How far above the most stable structure does each one sit? In meV/atom: model w 67; model x 0.

=====

Model w:
Nb3GeP: optimized geometry, PBE.

The structure in CIF format:
```
data_Nb3GeP
_chemical_formula_sum 'Nb3 Ge1 P1'
_symmetry_space_group_name_H-M 'P m -3 m'
_symmetry_Int_Tables_number 221
_symmetry_space_group_name_Hall '-P 4 2 3'
_cell_length_a 4.741
_cell_length_b 4.741
_cell_length_c 4.741
_cell_angle_alpha 90.00
_cell_angle_beta 90.00
_cell_angle_gamma 90.00
loop_
_atom_site_label
_atom_site_type_symbol
_atom_site_fract_x
_atom_site_fract_y
_atom_site_fract_z
_atom_site_occupancy
Nb1 Nb 0.000 0.000 0.500 1
Ge1 Ge 0.000 0.000 0.000 1
P1 P 0.500 0.500 0.500 1
```

Results
N(E_F): 7.6 states/eV per cell
size of the total moment: 0.0 μB per formula unit

=====

Model x:
Nb3GeP: optimized geometry, PBE.

The structure in CIF format:
```
data_Nb3GeP
_chemical_formula_sum 'Nb12 Ge4 P4'
_symmetry_space_group_name_H-M 'C 1 2/m 1'
_symmetry_Int_Tables_number 12
_cell_length_a 12.695
_cell_length_b 4.667
_cell_length_c 6.473
_cell_angle_alpha 90.00
_cell_angle_beta 94.52
_cell_angle_gamma 90.00
loop_
_symmetry_equiv_pos_as_xyz
'x,y,z'
'-x,-y,-z'
'-x,y,-z'
'x,-y,z'
'x+1/2,y+1/2,z'
'-x+1/2,-y+1/2,-z'
'-x+1/2,y+1/2,-z'
'x+1/2,-y+1/2,z'
loop_
_atom_site_label
_atom_site_type_symbol
_atom_site_fract_x
_atom_site_fract_y
_atom_site_fract_z
_atom_site_occupancy
Nb1 Nb 0.031 0.000 0.253 1
Nb2 Nb 0.186 0.000 0.974 1
Nb3 Nb 0.206 0.500 0.641 1
Ge1 Ge 0.104 0.500 0.104 1
P1 P 0.143 0.000 0.584 1
```

Results
N(E_F): 11.0 states/eV per cell
size of the total moment: 0.0 μB per formula unit

=====

How far above the most stable structure does each one sit? In meV/atom: model w 1344; model x 0.